NaCoAsSe2, relaxed, DFT PBE; polymorph energy (0 for the lowest one) = 370 meV/atom; ΔE_f (raw) = 1.60 eV per formula unit
1.0
4.595 0.000 0.000
0.000 4.595 0.000
0.000 0.000 5.017
Na Co As Se
1 1 1 2
direct
0.000 0.000 0.000
0.000 0.000 0.500
0.500 0.500 0.000
0.000 0.500 0.500
0.500 0.000 0.500